Record 1
{
  "formula": "CsHf3Ru",
  "functional": "PBE",
  "state": "optimized geometry",
  "lattice_angstrom": [[5.113, 0.000, 0.000], [0.000, 5.113, 0.000], [0.000, 0.000, 5.113]],
  "species": ["Cs", "Hf", "Hf", "Hf", "Ru"],
  "frac_coords": [[0.000, 0.000, 0.000], [0.000, 0.500, 0.000], [0.500, 0.000, 0.000], [0.000, 0.000, 0.500], [0.500, 0.500, 0.500]],
  "dft_energy_ev_per_atom": -5.32,
  "vol_a3_per_atom": 26.736,
  "delta_e_f_kj_per_mol_atoms": 258.8,
  "density_g_cm3": 9.56,
  "magmom_total_mub_per_fu": 0.3,
  "e_above_lowest_polymorph_ev_per_atom": 2.045
}

***

Record 2
{
  "formula": "NdCd8Pd4",
  "functional": "PBE",
  "state": "optimized geometry",
  "lattice_angstrom": [[1.509, -0.223, 5.514], [-1.266, -6.601, 3.048], [6.998, -2.136, 0.967]],
  "species": ["Cd", "Cd", "Cd", "Cd", "Cd", "Cd", "Cd", "Cd", "Pd", "Pd", "Pd", "Pd", "Nd"],
  "frac_coords": [[0.660, 0.340, 0.340], [0.718, 0.782, 0.782], [0.340, 0.660, 0.660], [0.500, 0.782, 0.218], [0.500, 0.218, 0.782], [0.282, 0.218, 0.218], [0.000, 0.660, 0.340], [0.000, 0.340, 0.660], [0.000, 0.500, 0.000], [0.500, 0.500, 0.000], [0.000, 0.000, 0.500], [0.500, 0.000, 0.500], [0.000, 0.000, 0.000]],
  "dft_energy_ev_per_atom": -2.89,
  "vol_a3_per_atom": 20.371,
  "delta_e_f_kj_per_mol_atoms": -35.0,
  "density_g_cm3": 9.21,
  "magmom_total_mub_per_fu": 0.0
}

***

Record 3
{
  "formula": "YBr2",
  "functional": "PBE",
  "state": "optimized geometry",
  "lattice_angstrom": [[1.949, 7.524, 0.064], [-1.949, 7.524, 0.064], [0.000, 7.222, 7.798]],
  "species": ["Br", "Br", "Br", "Br", "Y", "Y"],
  "frac_coords": [[0.444, 0.444, 0.839], [0.556, 0.556, 0.161], [0.240, 0.240, 0.664], [0.760, 0.760, 0.336], [0.075, 0.075, 0.578], [0.925, 0.925, 0.422]],
  "dft_energy_ev_per_atom": -4.77,
  "vol_a3_per_atom": 37.821,
  "density_g_cm3": 3.64,
  "magmom_total_mub_per_fu": 0.0
}

***

Record 4
{
  "formula": "PrErPd",
  "functional": "PBE",
  "state": "optimized geometry",
  "lattice_angstrom": [[-2.868, 2.784, 0.659], [-3.370, -3.210, -1.106], [1.480, 0.452, 4.526]],
  "species": ["Er", "Pd", "Pr"],
  "frac_coords": [[0.223, 0.333, 0.667], [0.076, 0.000, 0.000], [0.701, 0.667, 0.333]],
  "dft_energy_ev_per_atom": -5.24,
  "vol_a3_per_atom": 26.762,
  "delta_e_f_kj_per_mol_atoms": -38.0,
  "density_g_cm3": 8.57,
  "magmom_total_mub_per_fu": 0.0,
  "e_above_lowest_polymorph_ev_per_atom": 0.189
}

***

Record 5
{
  "formula": "Mn2Fe3Os",
  "functional": "PBE",
  "state": "optimized geometry",
  "lattice_angstrom": [[-3.974, 0.610, 0.326], [-1.601, -0.402, 6.183], [-0.918, 5.844, 2.824]],
  "species": ["Mn", "Mn", "Mn", "Mn", "Fe", "Fe", "Fe", "Fe", "Fe", "Fe", "Os", "Os"],
  "frac_coords": [[0.211, 0.451, 0.126], [0.461, 0.207, 0.870], [0.539, 0.793, 0.130], [0.789, 0.549, 0.874], [0.288, 0.038, 0.386], [0.380, 0.620, 0.621], [0.620, 0.380, 0.379], [0.959, 0.702, 0.379], [0.712, 0.962, 0.614], [0.041, 0.298, 0.621], [0.129, 0.865, 0.877], [0.871, 0.135, 0.123]],
  "dft_energy_ev_per_atom": -9.07,
  "vol_a3_per_atom": 12.017,
  "delta_e_f_kj_per_mol_atoms": 8.6,
  "density_g_cm3": 10.77,
  "magmom_total_mub_per_fu": 10.2
}

***

Record 6
{
  "formula": "NdScRh2",
  "functional": "PBE",
  "state": "optimized geometry",
  "lattice_angstrom": [[3.313, 0.000, 0.000], [0.000, 3.313, 0.000], [0.000, 0.000, 7.073]],
  "species": ["Rh", "Rh", "Nd", "Sc"],
  "frac_coords": [[0.000, 0.000, 0.780], [0.000, 0.000, 0.220], [0.500, 0.500, 0.500], [0.500, 0.500, 0.000]],
  "dft_energy_ev_per_atom": -7.23,
  "vol_a3_per_atom": 19.408,
  "delta_e_f_kj_per_mol_atoms": -74.9,
  "density_g_cm3": 8.45,
  "magmom_total_mub_per_fu": 0.0,
  "e_above_lowest_polymorph_ev_per_atom": 0.000
}